Mg5Sc: relaxed, GGA-PBE.

abc: 5.1330 5.5955 5.5959
angles: 120.13 90.00 90.00
Last column: nearest neighbours and their distance in Å.
Sites, in units of the cell vectors:
Sc: 0.5000 0.3338 0.3338  12 Mg 3.19-3.23
Mg: 0.0000 0.9934 0.9934  10 Mg 3.16-3.29, 2 Sc 3.19
Mg: 0.5000 0.6668 0.0003  9 Mg 3.16-3.23, 3 Sc 3.23
Mg: 0.0000 0.6726 0.3331  10 Mg 3.16-3.29, 2 Sc 3.19
Mg: 0.5000 0.0003 0.6668  9 Mg 3.16-3.23, 3 Sc 3.23
Mg: 0.0000 0.3331 0.6726  10 Mg 3.16-3.29, 2 Sc 3.19

Space-group type   Amm2
D(E_F)   5.28 states/eV/f.u.
Calculated formation energy   9 meV per atom

=====

Re2NiPt: relaxed, GGA-PBE.

abc: 2.6812 3.8946 5.4371
angles: 90.00 90.00 90.00
Last column: nearest neighbours and their distance in Å.
Sites, in units of the cell vectors:
Ni: 0.0000 0.0000 0.4942  6 Re 2.64-2.80, 2 Ni 2.68, 4 Pt 2.72
Pt: 0.5000 0.5000 0.7403  6 Re 2.63-2.81, 2 Pt 2.68, 4 Ni 2.72
Re: 0.0000 0.0000 0.0092  2 Ni 2.64-2.80, 6 Re 2.68-2.72, 4 Pt 2.78
Re: 0.5000 0.5000 0.2564  2 Pt 2.63-2.81, 6 Re 2.68-2.72, 4 Ni 2.69

Energy above the lowest structure with this stoichiometry   0.000 eV/atom
Space-group type   Pmm2
D(E_F)   3.52 states/eV/f.u.
Calculated formation energy   -46 meV per atom

=====

TlGaGeF6: relaxed, GGA-PBE.

abc: 6.0178 6.0308 5.7327
angles: 90.49 89.51 53.29
Last column: nearest neighbours and their distance in Å.
Sites, in units of the cell vectors:
Tl: 0.0024 0.0027 0.0004  6 F 2.76-2.97
Ga: 0.3408 0.3402 0.5000  6 F 1.87-2.01
Ge: 0.6768 0.6774 0.5004  4 F 2.05-2.20
F: 0.0599 0.3637 0.3098  1 Ga 1.95
F: 0.3614 0.0626 0.6907  1 Ga 1.95
F: 0.5701 0.3545 0.7075  1 Ga 1.87
F: 0.9945 0.6380 0.6764  1 Ga 2.01, 1 Ge 2.06
F: 0.3571 0.5670 0.2916  1 Ga 1.87
F: 0.6369 0.9939 0.3231  1 Ga 2.01, 1 Ge 2.05

Formation energy from raw total energies   -2.272 eV per atom
Space-group type   P1
D(E_F)   0.00 states/eV/f.u.

=====

BaAgCl: relaxed, GGA-PBE.

abc: 5.3794 5.3794 5.3794
angles: 60.00 60.00 60.00
Last column: nearest neighbours and their distance in Å.
Sites, in units of the cell vectors:
Ba: 0.0000 0.0000 0.0000  4 Ag 3.29
Ag: 0.7500 0.7500 0.7500  4 Cl 3.29, 4 Ba 3.29
Cl: 0.5000 0.5000 0.5000  4 Ag 3.29

Formation energy from raw total energies   -0.788 eV per atom
Energy above the lowest structure with this stoichiometry   0.276 eV/atom
Space-group type   F-43m

=====

Tl2ReBr: relaxed, GGA-PBE.

abc: 10.4102 10.4102 10.4102
angles: 18.54 18.54 18.54
Last column: nearest neighbours and their distance in Å.
Sites, in units of the cell vectors:
Re: 0.7549 0.7549 0.7549  3 Br 2.51
Tl: 0.0145 0.0145 0.0145  3 Re 2.98
Tl: 0.2569 0.2569 0.2569  9 Tl 3.35-3.40
Br: 0.4738 0.4738 0.4738  3 Re 2.51

Formation energy from raw total energies   0.640 eV per atom
Energy above the lowest structure with this stoichiometry   0.029 eV/atom
Space-group type   R3m
D(E_F)   1.83 states/eV/f.u.

=====

LaY3Th2: relaxed, GGA-PBE.

abc: 6.6157 9.3968 9.3968
angles: 136.72 90.00 90.00
Last column: nearest neighbours and their distance in Å.
Sites, in units of the cell vectors:
La: 0.2500 0.3512 0.6488  8 Y 3.47-3.77, 4 Th 3.54
La: 0.7500 0.6488 0.3512  8 Y 3.47-3.77, 4 Th 3.54
Y: 0.7500 0.1478 0.8522  2 La 3.47, 4 Th 3.51, 6 Y 3.58-3.75
Y: 0.7500 0.0742 0.4211  5 Y 3.43-3.75, 2 Th 3.45, 3 La 3.55-3.77
Y: 0.2500 0.4211 0.0742  5 Y 3.43-3.75, 2 Th 3.45, 3 La 3.55-3.77
Y: 0.7500 0.5789 0.9258  5 Y 3.43-3.75, 2 Th 3.45, 3 La 3.55-3.77
Y: 0.2500 0.9258 0.5789  5 Y 3.43-3.75, 2 Th 3.45, 3 La 3.55-3.77
Y: 0.2500 0.8522 0.1478  2 La 3.47, 4 Th 3.51, 6 Y 3.58-3.75
Th: 0.0000 0.2471 0.2471  4 Th 3.31-3.50, 4 Y 3.45-3.51, 2 La 3.54
Th: 0.5000 0.2471 0.2471  4 Th 3.31-3.50, 4 Y 3.45-3.51, 2 La 3.54
Th: 0.0000 0.7529 0.7529  4 Th 3.31-3.50, 4 Y 3.45-3.51, 2 La 3.54
Th: 0.5000 0.7529 0.7529  4 Th 3.31-3.50, 4 Y 3.45-3.51, 2 La 3.54

Space-group type   Cmcm
D(E_F)   8.66 states/eV/f.u.
Calculated formation energy   193 meV per atom

=====

Ni2HgAu: relaxed, GGA-PBE.

abc: 3.3039 3.0272 6.7476
angles: 63.35 90.00 90.00
Last column: nearest neighbours and their distance in Å.
Sites, in units of the cell vectors:
Au: 0.5000 0.2500 0.2500  8 Ni 2.67
Hg: 0.5000 0.7500 0.7500  8 Ni 2.73, 2 Au 3.02, 2 Hg 3.03
Ni: 0.0000 0.9912 0.0091  4 Au 2.67, 4 Hg 2.73, 1 Ni 2.91
Ni: 0.0000 0.5088 0.4909  4 Au 2.67, 4 Hg 2.73, 1 Ni 2.91

Space-group type   Pmmm
D(E_F)   1.95 states/eV/f.u.
Calculated formation energy   152 meV per atom

=====

Li2CaP: relaxed, GGA-PBE.

abc: 4.5558 4.2831 4.2865
angles: 83.66 90.00 90.00
Last column: nearest neighbours and their distance in Å.
Sites, in units of the cell vectors:
Ca: 0.5000 0.7500 0.7500  4 P 2.86-3.19, 4 Li 3.06
Li: 0.0000 0.0708 0.0706  1 Li 2.29, 2 P 2.55
Li: 0.0000 0.4292 0.4294  1 Li 2.29, 2 P 2.55
P: 0.5000 0.2500 0.2500  4 Li 2.55

Space-group type   Cmmm
D(E_F)   0.63 states/eV/f.u.
Calculated formation energy   -485 meV per atom